LiZr3Se6 after structural relaxation, computed with PBE-GGA.

abc: 7.3618 7.3618 7.3618
angles: 54.40 54.40 54.40
Fractional coordinates of all 10 atoms:
Li1 0.0000 0.0000 0.0000
Zr1 0.1798 0.1798 0.1798
Zr2 0.5101 0.5101 0.5101
Zr3 0.6829 0.6829 0.6829
Se1 0.0989 0.7685 0.4194
Se2 0.2826 0.5806 0.9291
Se3 0.4194 0.0989 0.7685
Se4 0.5806 0.9291 0.2826
Se5 0.7685 0.4194 0.0989
Se6 0.9291 0.2826 0.5806

The raw total energy is -61.02 eV for the cell shown. As for the formation energy (no corrections): -1.2552 eV per atom.